(1)
Material: LiSm2Au2
Method: DFT, GGA-PBE
State: optimized geometry

a b c (Å): 8.013 8.013 3.908
angles (deg): 90.00 90.00 90.00
Space group P4/mbm (No. 127)
Asymmetric unit:
Li 0.000 0.000 0.000 [2 per cell]
Sm 0.163 0.337 0.500 [4 per cell]
Au 0.136 0.636 0.000 [4 per cell]

Output
Energy relative to the elements: -0.652 eV/atom
Relative energy among the computed polymorphs: 0.000 eV per atom



(2)
Material: Ta2TlSb
Method: DFT, GGA-PBE
State: optimized geometry

a b c (Å): 3.507 5.144 9.229
angles (deg): 90.00 90.00 90.00
Space group Cmmm (No. 65)
Asymmetric unit:
Ta 0.000 0.000 0.239 [4 per cell]
Tl 0.000 0.500 0.500 [2 per cell]
Sb 0.000 0.500 0.000 [2 per cell]

Output
Relative energy among the computed polymorphs: 0.282 eV per atom
Uncorrected formation energy: 512 meV/atom



(3)
Material: Dy4In3Ga
Method: DFT, GGA-PBE
State: optimized geometry

a b c (Å): 4.254 4.534 11.344
angles (deg): 90.00 90.00 90.00
Space group Pmm2 (No. 25)
Asymmetric unit:
Dy 0.000 0.000 0.000 [1 per cell]
Dy 0.000 0.500 0.485 [1 per cell]
Dy 0.500 0.000 0.714 [1 per cell]
Dy 0.500 0.500 0.219 [1 per cell]
In 0.000 0.500 0.766 [1 per cell]
In 0.500 0.000 0.431 [1 per cell]
In 0.500 0.500 0.941 [1 per cell]
Ga 0.000 0.000 0.268 [1 per cell]

Output
Energy relative to the elements: -0.459 eV/atom
Relative energy among the computed polymorphs: 0.034 eV per atom



| no. | E (eV/atom) | theoretical density (Mg/m³) | density of states at the Fermi level (states/eV per cell) |
| --- | --- | --- | --- |
| 1 | -4.233 | 9.3 | 8.6 |
| 2 | -7.036 | 13.7 | 4.9 |
| 3 | -4.166 | 8.1 | 7.2 |